(one)
Density functional theory data (PBE+U) for CsTiCoOF5 after structural relaxation.

As for the crystal system: orthorhombic. As for the space group: Imma.

a = 7.2915 Å, b = 7.4739 Å, c = 7.4739 Å
α = 59.86°, β = 60.80°, γ = 60.80°
Last column: magnetic moment on the atom in μB.
Fractional positions:
1 F 0.5854 0.6876 0.5608  0.02
2 Cs 0.8806 0.3694 0.8694  0.00
3 F 0.4282 0.3218 0.8218  0.07
4 Ti 0.5000 0.0000 0.5000  0.01
5 F 0.1661 0.0608 0.1876  0.02
6 Ti 0.0000 0.0000 0.5000  0.01
7 Co 0.5000 0.0000 0.0000  2.79
8 F 0.1661 0.6876 0.5608  0.02
9 F 0.8339 0.9392 0.8124  0.02
10 Co 0.5000 0.5000 0.5000  2.79
11 F 0.8339 0.3124 0.4392  0.02
12 F 0.5854 0.0608 0.1876  0.02
13 O 0.2107 0.0393 0.5393  0.00
14 F 0.4146 0.9392 0.8124  0.02
15 Cs 0.1194 0.6306 0.1306  0.00
16 F 0.4146 0.3124 0.4392  0.02
17 F 0.5718 0.6782 0.1782  0.07
18 O 0.7893 0.9607 0.4607  0.00

(two)
Density functional theory data (PBE+U) for CsTiCoOF5 after structural relaxation.

As for the crystal system: monoclinic. As for the space group: P2_1/m.

a = 7.4390 Å, b = 7.4268 Å, c = 10.6356 Å
α = 90.00°, β = 90.10°, γ = 90.00°
Last column: magnetic moment on the atom in μB.
Fractional positions:
1 O 0.0020 0.7500 0.7045  0.00
2 F 0.2050 0.0623 0.1254  0.02
3 Cs 0.9966 0.2500 0.6232  0.00
4 Ti 0.2730 0.2500 0.2454  0.01
5 F 0.7053 0.4375 0.3745  0.02
6 F 0.5043 0.2500 0.5731  0.06
7 Ti 0.7270 0.7500 0.7546  0.01
8 Co 0.5000 0.0000 0.5000  2.79
9 F 0.2947 0.5625 0.6255  0.02
10 O 0.5023 0.7500 0.7957  0.00
11 F 0.7935 0.4359 0.1249  0.02
12 Co 0.5000 0.5000 0.5000  2.79
13 Cs 0.0034 0.7500 0.3768  0.00
14 F 0.7053 0.0625 0.3745  0.02
15 F 0.2939 0.0639 0.3750  0.02
16 Ti 0.2270 0.7500 0.7455  0.01
17 F 0.7062 0.5639 0.6250  0.02
18 F 0.4957 0.7500 0.4269  0.06
19 F 0.2947 0.9375 0.6255  0.02
20 Co 0.0000 0.5000 0.0000  2.79
21 F 0.9992 0.2500 0.9269  0.07
22 F 0.7950 0.5624 0.8746  0.02
23 Cs 0.4991 0.7500 0.1227  0.00
24 F 0.2050 0.4376 0.1254  0.02
25 F 0.0008 0.7500 0.0731  0.07
26 Cs 0.5009 0.2500 0.8773  0.00
27 O 0.9980 0.2500 0.2955  0.00
28 Co 0.0000 0.0000 0.0000  2.79
29 F 0.7061 0.9361 0.6250  0.02
30 O 0.4977 0.2500 0.2043  0.00
31 F 0.2065 0.5641 0.8751  0.02
32 F 0.2938 0.4361 0.3750  0.02
33 F 0.2066 0.9360 0.8751  0.02
34 F 0.7934 0.0640 0.1249  0.02
35 Ti 0.7730 0.2500 0.2545  0.01
36 F 0.7950 0.9377 0.8746  0.02

Most stable pick: (two). Distance to second place: 6 meV per atom.

(one)
Density functional theory data (PBE+U) for Cs2CoPdF6 after structural relaxation.

As for the crystal system: trigonal. As for the space group: R-3m.

a = 6.3103 Å, b = 6.3103 Å, c = 11.0662 Å
α = 73.43°, β = 73.43°, γ = 60.00°
Last column: magnetic moment on the atom in μB.
Fractional positions:
1 F 0.2108 0.2108 0.8795  0.09
2 F 0.8405 0.4019 0.3557  0.12
3 F 0.7892 0.3011 0.1205  0.09
4 Co 0.5923 0.5923 0.2232  2.80
5 Cs 0.8738 0.8738 0.3786  0.00
6 F 0.4019 0.8405 0.3557  0.12
7 F 0.5981 0.1595 0.6443  0.12
8 Cs 0.1262 0.1262 0.6214  0.00
9 F 0.4019 0.4019 0.3557  0.12
10 F 0.5981 0.5981 0.6443  0.12
11 F 0.7892 0.7892 0.1205  0.09
12 F 0.6989 0.2108 0.8795  0.09
13 F 0.2108 0.6989 0.8795  0.09
14 Co 0.4077 0.4077 0.7768  2.80
15 Cs 0.7119 0.7119 0.8644  0.00
16 F 0.3011 0.7892 0.1205  0.09
17 F 0.1595 0.5981 0.6443  0.12
18 Pd 0.0000 0.0000 0.0000  1.52
19 Cs 0.2881 0.2881 0.1356  0.00
20 Pd 0.5000 0.5000 0.5000  1.36

(two)
Density functional theory data (PBE+U) for Cs2CoPdF6 after structural relaxation.

As for the crystal system: tetragonal. As for the space group: I4/mmm.

a = 6.1718 Å, b = 6.1718 Å, c = 6.2265 Å
α = 60.29°, β = 60.29°, γ = 90.00°
Last column: magnetic moment on the atom in μB.
Fractional positions:
1 F 0.7452 0.7452 0.5096  0.10
2 Cs 0.7500 0.2500 0.5000  0.00
3 F 0.7374 0.7374 0.0000  0.10
4 Cs 0.2500 0.7500 0.5000  0.00
5 F 0.7374 0.2626 0.0000  0.09
6 Co 0.5000 0.5000 0.0000  2.92
7 F 0.2626 0.2626 0.0000  0.10
8 F 0.2626 0.7374 0.0000  0.09
9 F 0.2548 0.2548 0.4904  0.10
10 Pd 0.0000 0.0000 0.0000  1.41

Most stable pick: (one). Distance to second place: 49 meV per atom.